Density functional theory data (GGA+U) for a geometry-optimized CdCoNiF6 structure.

Results
- total DFT energy (no corrections) (eV per atom) = -4.37
- magnetization (μB/cell) = 10.0
- D(E_F) (states/eV per atom) = 0.000

a = 5.3258 Å, b = 5.3258 Å, c = 9.5940 Å
α = 90.00°, β = 90.00°, γ = 120.00°
Space group P-31c (No. 163)
Unique sites:
Cd 0.0000 0.0000 0.0000 [2 per cell]
Co 0.3333 0.6667 0.2500 [2 per cell]
Ni 0.3333 0.6667 0.7500 [2 per cell]
F 0.0041 0.3531 0.6366 [12 per cell]